First-principles (GGA+U) data for a relaxed YMn2O6 crystal, as listed in the Alexandria database.

Properties
Calculated density, g cm⁻³: 4.61
Excess energy over the best structure of this formula in the dataset, meV/atom: 0

abc: 5.011 5.011 4.883
angles: 90.00 90.00 120.00
Sites, in units of the cell vectors:
Y 0.000 0.000 0.000
Mn 0.333 0.667 0.500
Mn 0.667 0.333 0.500
O 0.000 0.365 0.716
O 0.000 0.635 0.284
O 0.365 0.000 0.716
O 0.365 0.365 0.284
O 0.635 0.000 0.284
O 0.635 0.635 0.716